[1]
Below is Ba6Nd2Ti4O17 after structural relaxation, with properties calculated at the PBEsol level.

CIF file:
```
data_Ba6Nd2Ti4O17
_cell_length_a 5.9744
_cell_length_b 5.9744
_cell_length_c 30.1680
_cell_angle_alpha 90.00
_cell_angle_beta 90.00
_cell_angle_gamma 120.00
_symmetry_space_group_name_H-M 'P 63/m m c'
_symmetry_Int_Tables_number 194
_symmetry_space_group_name_Hall '-P 6c 2c'
loop_
_atom_site_label
_atom_site_fract_x
_atom_site_fract_y
_atom_site_fract_z
Ba1 0.0000 0.0000 0.0000
Ba2 0.0000 0.0000 0.2500
Ba3 0.3333 0.6667 0.0895
Ba4 0.3333 0.6667 0.6865
Nd1 0.0000 0.0000 0.1262
Ti1 0.3333 0.6667 0.2045
Ti2 0.3333 0.6667 0.5519
O1 0.0351 0.5176 0.2500
O2 0.1692 0.3384 0.5745
O3 0.1777 0.3554 0.1712
O4 0.3333 0.6667 0.0067
```

## Properties
- Formation energy without anion corrections: -3093 meV per atom
- Spin magnetization: 0.0 μB/cell
- D(E_F): 0.00 states/eV/f.u.

[2]
Below is CrW2IO after structural relaxation, with properties calculated at the PBEsol level.

CIF file:
```
data_CrW2IO
_cell_length_a 4.224
_cell_length_b 4.224
_cell_length_c 4.053
_cell_angle_alpha 90.00
_cell_angle_beta 90.00
_cell_angle_gamma 90.00
_symmetry_space_group_name_H-M 'P 4/m m m'
_symmetry_Int_Tables_number 123
_symmetry_space_group_name_Hall '-P 4 2'
loop_
_atom_site_label
_atom_site_fract_x
_atom_site_fract_y
_atom_site_fract_z
Cr1 0.000 0.000 0.000
W1 0.000 0.500 0.500
I1 0.500 0.500 0.000
O1 0.000 0.000 0.500
```

## Properties
- Formation energy without anion corrections: 696 meV per atom
- Spin magnetization: 2.0 μB/cell
- D(E_F): 4.87 states/eV/f.u.

[3]
Below is Zr2MoCl after structural relaxation, with properties calculated at the PBEsol level.

CIF file:
```
data_Zr2MoCl
_cell_length_a 6.609
_cell_length_b 6.609
_cell_length_c 6.609
_cell_angle_alpha 90.00
_cell_angle_beta 90.00
_cell_angle_gamma 90.00
_symmetry_space_group_name_H-M 'F -4 3 m'
_symmetry_Int_Tables_number 216
_symmetry_space_group_name_Hall 'F -4 2 3'
loop_
_atom_site_label
_atom_site_fract_x
_atom_site_fract_y
_atom_site_fract_z
Zr1 0.000 0.000 0.000
Zr2 0.250 0.250 0.250
Mo1 0.000 0.000 0.500
Cl1 0.250 0.250 0.750
```

## Properties
- Energy above the most stable polymorph in this dataset: 688 meV per atom
- Formation energy without anion corrections: 557 meV per atom
- Spin magnetization: 0.0 μB/cell
- D(E_F): 5.02 states/eV/f.u.

[4]
Below is LiCrP2Cl after structural relaxation, with properties calculated at the PBEsol level.

CIF file:
```
data_LiCrP2Cl
_cell_length_a 4.266
_cell_length_b 4.266
_cell_length_c 5.323
_cell_angle_alpha 90.00
_cell_angle_beta 90.00
_cell_angle_gamma 90.00
_symmetry_space_group_name_H-M 'P 4/m m m'
_symmetry_Int_Tables_number 123
_symmetry_space_group_name_Hall '-P 4 2'
loop_
_atom_site_label
_atom_site_fract_x
_atom_site_fract_y
_atom_site_fract_z
Li1 0.000 0.000 0.000
Cr1 0.500 0.500 0.500
P1 0.000 0.500 0.500
Cl1 0.500 0.500 0.000
```

## Properties
- Formation energy without anion corrections: -149 meV per atom
- Spin magnetization: 0.3 μB/cell
- D(E_F): 2.55 states/eV/f.u.

[5]
Below is KSi2Sb after structural relaxation, with properties calculated at the PBEsol level.

CIF file:
```
data_KSi2Sb
_cell_length_a 3.228
_cell_length_b 5.060
_cell_length_c 6.528
_cell_angle_alpha 90.00
_cell_angle_beta 94.24
_cell_angle_gamma 90.00
_symmetry_space_group_name_H-M 'P 1 2/m 1'
_symmetry_Int_Tables_number 10
loop_
_symmetry_equiv_pos_as_xyz
'x,y,z'
'-x,-y,-z'
'-x,y,-z'
'x,-y,z'
loop_
_atom_site_label
_atom_site_fract_x
_atom_site_fract_y
_atom_site_fract_z
K1 0.000 0.000 0.000
Si1 0.268 0.500 0.644
Sb1 0.500 0.000 0.500
```

## Properties
- Formation energy without anion corrections: 211 meV per atom
- Spin magnetization: 0.0 μB/cell
- D(E_F): 1.15 states/eV/f.u.

[6]
Below is K2BaIr after structural relaxation, with properties calculated at the PBEsol level.

CIF file:
```
data_K2BaIr
_cell_length_a 3.4463
_cell_length_b 3.4463
_cell_length_c 39.2549
_cell_angle_alpha 90.00
_cell_angle_beta 90.00
_cell_angle_gamma 120.00
_symmetry_space_group_name_H-M 'R -3 m'
_symmetry_Int_Tables_number 166
_symmetry_space_group_name_Hall '-R 3 2"'
loop_
_atom_site_label
_atom_site_fract_x
_atom_site_fract_y
_atom_site_fract_z
K1 0.0000 0.0000 0.2272
Ba1 0.0000 0.0000 0.0000
Ir1 0.0000 0.0000 0.5000
```

## Properties
- Energy above the most stable polymorph in this dataset: 565 meV per atom
- Spin magnetization: 3.7 μB/cell
- D(E_F): 4.76 states/eV/f.u.

[7]
Below is Mo4H8N2O13 after structural relaxation, with properties calculated at the PBEsol level.

CIF file:
```
data_Mo4H8N2O13
_cell_length_a 8.256
_cell_length_b 8.396
_cell_length_c 10.303
_cell_angle_alpha 104.99
_cell_angle_beta 105.80
_cell_angle_gamma 109.76
_symmetry_space_group_name_H-M 'P -1'
_symmetry_Int_Tables_number 2
loop_
_symmetry_equiv_pos_as_xyz
'x,y,z'
'-x,-y,-z'
loop_
_atom_site_label
_atom_site_fract_x
_atom_site_fract_y
_atom_site_fract_z
Mo1 0.034 0.373 0.265
Mo2 0.046 0.987 0.284
Mo3 0.223 0.657 0.067
Mo4 0.226 0.040 0.051
H1 0.194 0.827 0.589
H2 0.281 0.346 0.695
H3 0.296 0.731 0.487
H4 0.314 0.948 0.509
H5 0.418 0.576 0.748
H6 0.429 0.907 0.651
H7 0.488 0.459 0.842
H8 0.490 0.423 0.673
N1 0.308 0.852 0.558
N2 0.419 0.450 0.738
O1 0.033 0.820 0.668
O2 0.057 0.481 0.116
O3 0.073 0.169 0.658
O4 0.079 0.519 0.663
O5 0.093 0.148 0.134
O6 0.100 0.852 0.137
O7 0.227 0.807 0.946
O8 0.228 0.123 0.913
O9 0.268 0.509 0.377
O10 0.269 0.099 0.419
O11 0.318 0.530 0.986
O12 0.399 0.793 0.235
O13 0.449 0.159 0.183
```

## Properties
- Calculated total energy: -7.32 eV/atom
- Spin magnetization: 0.0 μB/cell
- D(E_F): 0.00 states/eV/f.u.

[8]
Below is VCo3H after structural relaxation, with properties calculated at the PBEsol level.

CIF file:
```
data_VCo3H
_cell_length_a 3.520
_cell_length_b 3.520
_cell_length_c 3.520
_cell_angle_alpha 90.00
_cell_angle_beta 90.00
_cell_angle_gamma 90.00
_symmetry_space_group_name_H-M 'P m -3 m'
_symmetry_Int_Tables_number 221
_symmetry_space_group_name_Hall '-P 4 2 3'
loop_
_atom_site_label
_atom_site_fract_x
_atom_site_fract_y
_atom_site_fract_z
V1 0.000 0.000 0.000
Co1 0.000 0.500 0.500
H1 0.500 0.500 0.500
```

## Properties
- Calculated total energy: -7.44 eV/atom
- Spin magnetization: 0.8 μB/cell
- D(E_F): 2.69 states/eV/f.u.